Here is a relaxed structure of Be2Mo2Au from Alexandria via LeMat-Bulk. Energies are from PBE.

Properties
**Calculated formation energy**: -0.029 eV per atom
**Relative energy among the computed polymorphs**: 0.00 kJ per mole of atoms
**Size of the total moment**: 0.00 μB/f.u.

a = 6.1089 Å, b = 6.1089 Å, c = 3.4306 Å
α = 90.00°, β = 90.00°, γ = 90.00°
Element x y z (fractional)
Be 0.1191 0.3809 0.0000
Be 0.3809 0.8809 0.0000
Be 0.6191 0.1191 0.0000
Be 0.8809 0.6191 0.0000
Mo 0.1729 0.6729 0.5000
Mo 0.3271 0.1729 0.5000
Mo 0.6729 0.8271 0.5000
Mo 0.8271 0.3271 0.5000
Au 0.0000 0.0000 0.0000
Au 0.5000 0.5000 0.0000